Density functional theory data (PBE) for a relaxed TaCr crystal.

Computed properties:
Energy of formation in kJ/mol of atoms: 65.8
Total magnetization in Bohr magnetons per cell: 0.0

Geometry as POSCAR:
```
TaCr
1.0
4.172 0.000 0.000
-2.086 3.613 0.000
0.000 0.000 4.445
Ta Cr
2 2
direct
0.333 0.667 0.250
0.667 0.333 0.750
0.000 0.000 0.000
0.000 0.000 0.500
```



Density functional theory data (PBE) for a relaxed TaCr crystal.

Computed properties:
Energy of formation in kJ/mol of atoms: 8.8
Total magnetization in Bohr magnetons per cell: 0.0

Geometry as POSCAR:
```
TaCr
1.0
5.138 0.000 0.000
0.927 5.384 0.000
0.422 2.664 8.685
Ta Cr
8 8
direct
0.115 0.251 0.135
0.142 0.510 0.619
0.147 0.741 0.136
0.374 0.006 0.859
0.626 0.994 0.141
0.853 0.259 0.864
0.858 0.490 0.381
0.885 0.749 0.865
0.126 0.010 0.609
0.376 0.756 0.386
0.379 0.506 0.870
0.383 0.238 0.389
0.617 0.762 0.611
0.621 0.494 0.130
0.624 0.244 0.614
0.874 0.990 0.391
```



Density functional theory data (PBE) for a relaxed TaCr2 crystal.

Computed properties:
Energy of formation in kJ/mol of atoms: -12.5
Total magnetization in Bohr magnetons per cell: 0.0

Geometry as POSCAR:
```
TaCr2
1.0
0.000 3.468 3.468
3.468 0.000 3.468
3.468 3.468 0.000
Ta Cr
2 4
direct
0.125 0.125 0.125
0.875 0.875 0.875
0.000 0.500 0.500
0.500 0.000 0.500
0.500 0.500 0.000
0.500 0.500 0.500
```



Density functional theory data (PBE) for a relaxed TaCr3 crystal.

Computed properties:
Energy of formation in kJ/mol of atoms: 3.2
Total magnetization in Bohr magnetons per cell: 0.1

Geometry as POSCAR:
```
TaCr3
1.0
2.976 0.000 0.000
0.000 2.976 0.000
0.000 0.000 6.008
Ta Cr
1 3
direct
0.000 0.000 0.000
0.000 0.000 0.500
0.500 0.500 0.269
0.500 0.500 0.731
```



Density functional theory data (PBE) for a relaxed TaCr2 crystal.

Computed properties:
Energy of formation in kJ/mol of atoms: 67.2
Total magnetization in Bohr magnetons per cell: 3.4

Geometry as POSCAR:
```
TaCr2
1.0
6.076 0.000 0.000
-3.038 5.262 0.000
0.000 0.000 4.265
Ta Cr
3 6
direct
0.000 0.000 0.000
0.333 0.667 0.500
0.667 0.333 0.500
0.000 0.225 0.500
0.000 0.520 0.000
0.225 0.000 0.500
0.480 0.480 0.000
0.520 0.000 0.000
0.775 0.775 0.500
```



Density functional theory data (PBE) for a relaxed Ta2Cr crystal.

Computed properties:
Energy of formation in kJ/mol of atoms: 3.7
Total magnetization in Bohr magnetons per cell: 0.0

Geometry as POSCAR:
```
Ta2Cr
1.0
5.077 -1.579 0.000
5.077 1.579 0.000
-2.364 0.000 6.033
Ta Cr
4 2
direct
0.001 0.001 0.270
0.327 0.327 0.900
0.673 0.673 0.100
0.999 0.999 0.730
0.329 0.329 0.422
0.671 0.671 0.578
```